Record 1
Below is crystalline MnPdSN2 at its relaxed geometry, with properties calculated at the PBE level.

abc: 3.8981 3.8981 5.3113
angles: 90.00 90.00 90.00
Fractional positions:
Mn 0.0000 0.0000 0.0000
Pd 0.5000 0.5000 0.5000
S 0.5000 0.5000 0.0000
N 0.0000 0.5000 0.5000
N 0.5000 0.0000 0.5000

Summary:
The space group is P4/mmm (123). As for the energy above the most stable polymorph in this dataset: 738 meV/atom. For the magnetization, the calculation gives 1.637 μB/atom. The density of states at the Fermi level is 3.9 states/eV/cell. The raw formation energy comes out at 1.338 eV/atom.

Record 2
Below is crystalline MnPdSN2 at its relaxed geometry, with properties calculated at the PBE level.

abc: 3.5430 3.5430 5.1539
angles: 90.00 90.00 90.00
Fractional positions:
Mn 0.0000 0.0000 0.0000
Pd 0.5000 0.5000 0.5000
S 0.0000 0.0000 0.5000
N 0.0000 0.5000 0.0000
N 0.5000 0.0000 0.0000

Summary:
The space group is P4/mmm (123). As for the energy above the most stable polymorph in this dataset: 0 meV/atom. For the magnetization, the calculation gives 0.015 μB/atom. The density of states at the Fermi level is 4.8 states/eV/cell. The raw formation energy comes out at 0.600 eV/atom.